6
Lattice="6.575 0.000 0.000 -0.919 6.542 0.000 -2.896 -3.211 5.263" Properties=species:S:1:pos:R:3 comment="InBrCl (PBE, optimized geometry)" e_tot_ry_per_atom=-0.2189 raw_formation_energy_mev_per_atom=-892 m_tot_mub_per_cell=0.000 pbc="T T T"
Cl 1.650 1.555 2.668
Cl -1.265 4.052 2.644
Br 2.095 5.025 0.584
Br 3.007 -1.513 4.726
In 1.136 3.906 2.654
In -1.751 0.592 2.658